[1]
Material: InNiSe2
Method: DFT, PBE
State: optimized geometry

For the density of states at the Fermi level, the calculation gives 3.327 states/eV/f.u. As for the total DFT energy (no corrections): -3.69 eV/atom. The calculation puts the total moment at 1.02 Bohr magnetons per cell. The calculation puts the volume at 98.55 Å³/cell. Its space-group type is Pmmm.

Cell: 3.682 3.746 7.145 Å, 90.00 90.00 90.00°
Fractional positions:
In: 0.000 0.000 0.000
Ni: 0.000 0.500 0.500
Se: 0.500 0.000 0.500
Se: 0.500 0.500 0.000

[2]
Material: AcPr2DyBi4
Method: DFT, PBE
State: optimized geometry

For the density of states at the Fermi level, the calculation gives 0.944 states/eV/f.u. The calculated formation energy comes out at -0.9196 eV/atom. The calculation puts the total moment at 0.00 Bohr magnetons per cell. The calculation puts the volume at 287.54 Å³/cell. Its space-group type is P2/m.

Cell: 8.076 4.670 8.084 Å, 90.00 109.42 90.00°
Fractional positions:
Ac: 0.000 0.000 0.000
Pr: 0.000 0.500 0.500
Pr: 0.500 0.000 0.500
Dy: 0.500 0.500 0.000
Bi: 0.261 0.000 0.753
Bi: 0.262 0.500 0.255
Bi: 0.738 0.500 0.745
Bi: 0.739 0.000 0.247